1.
This record from Alexandria describes a relaxed Rb2Tl16Hg crystal. The functional is PBE-GGA.

Values from the calculation:
Raw total energy   -2.13 eV/atom
DOS at the Fermi energy   9.7 states/eV/f.u.
SG   No. 160

a = 8.716 Å, b = 8.716 Å, c = 8.716 Å
α = 81.57°, β = 81.57°, γ = 81.57°
Positions (direct):
Rb 0.000 0.000 0.000
Rb 0.327 0.327 0.327
Tl 0.007 0.007 0.548
Tl 0.007 0.548 0.007
Tl 0.196 0.644 0.644
Tl 0.299 0.299 0.847
Tl 0.299 0.847 0.299
Tl 0.371 0.666 0.959
Tl 0.371 0.959 0.666
Tl 0.548 0.007 0.007
Tl 0.644 0.196 0.644
Tl 0.644 0.644 0.196
Tl 0.666 0.371 0.959
Tl 0.666 0.959 0.371
Tl 0.755 0.755 0.755
Tl 0.847 0.299 0.299
Tl 0.959 0.371 0.666
Tl 0.959 0.666 0.371
Hg 0.568 0.568 0.568

---

2.
This record from Alexandria describes a relaxed KBiAu3 crystal. The functional is PBE-GGA.

Values from the calculation:
Distance to the lowest polymorph of the same formula   139.9 meV/atom
DOS at the Fermi energy   1.1 states/eV/f.u.
SG   No. 221

a = 5.555 Å, b = 5.555 Å, c = 5.555 Å
α = 90.00°, β = 90.00°, γ = 90.00°
Positions (direct):
K 0.000 0.000 0.000
Bi 0.500 0.500 0.500
Au 0.000 0.500 0.500
Au 0.500 0.000 0.500
Au 0.500 0.500 0.000

---

3.
This record from Alexandria describes a relaxed Pu3SnH3 crystal. The functional is PBE-GGA.

Values from the calculation:
Distance to the lowest polymorph of the same formula   542.4 meV/atom
DOS at the Fermi energy   10.9 states/eV/f.u.
SG   No. 148

a = 6.956 Å, b = 6.956 Å, c = 6.956 Å
α = 52.39°, β = 52.39°, γ = 52.39°
Positions (direct):
Pu 0.132 0.477 0.572
Pu 0.428 0.868 0.523
Pu 0.477 0.572 0.132
Pu 0.523 0.428 0.868
Pu 0.572 0.132 0.477
Pu 0.868 0.523 0.428
Sn 0.149 0.149 0.149
Sn 0.851 0.851 0.851
H 0.050 0.152 0.670
H 0.152 0.670 0.050
H 0.330 0.950 0.848
H 0.670 0.050 0.152
H 0.848 0.330 0.950
H 0.950 0.848 0.330

---

4.
This record from Alexandria describes a relaxed Pr3Ga8Ag3 crystal. The functional is PBE-GGA.

Values from the calculation:
Raw total energy   -3.85 eV/atom
DOS at the Fermi energy   3.0 states/eV/f.u.
SG   No. 71

a = 8.546 Å, b = 8.546 Å, c = 8.546 Å
α = 150.03°, β = 111.26°, γ = 76.77°
Positions (direct):
Pr 0.000 0.000 0.000
Pr 0.302 0.302 0.000
Pr 0.698 0.698 0.000
Ga 0.027 0.660 0.367
Ga 0.136 0.856 0.280
Ga 0.292 0.660 0.633
Ga 0.424 0.144 0.280
Ga 0.576 0.856 0.720
Ga 0.708 0.340 0.367
Ga 0.864 0.144 0.720
Ga 0.973 0.340 0.633
Ag 0.301 0.500 0.801
Ag 0.500 0.000 0.500
Ag 0.699 0.500 0.199

---

5.
This record from Alexandria describes a relaxed K3CeSm3S8 crystal. The functional is PBE-GGA.

Values from the calculation:
Energy relative to the elements, uncorrected   -1.848 eV per atom
SG   No. 166

a = 8.854 Å, b = 8.854 Å, c = 8.854 Å
α = 55.50°, β = 55.50°, γ = 55.50°
Positions (direct):
K 0.000 0.500 0.500
K 0.500 0.000 0.500
K 0.500 0.500 0.000
Ce 0.500 0.500 0.500
Sm 0.000 0.000 0.500
Sm 0.000 0.500 0.000
Sm 0.500 0.000 0.000
S 0.235 0.235 0.235
S 0.240 0.728 0.728
S 0.272 0.272 0.760
S 0.272 0.760 0.272
S 0.728 0.240 0.728
S 0.728 0.728 0.240
S 0.760 0.272 0.272
S 0.765 0.765 0.765

---

6.
This record from Alexandria describes a relaxed PmY2Ru9 crystal. The functional is PBE-GGA.

Values from the calculation:
Raw total energy   -8.54 eV/atom
DOS at the Fermi energy   17.4 states/eV/f.u.
SG   No. 166

a = 9.218 Å, b = 9.218 Å, c = 9.218 Å
α = 33.43°, β = 33.43°, γ = 33.43°
Positions (direct):
Pm 0.000 0.000 0.000
Y 0.140 0.140 0.140
Y 0.860 0.860 0.860
Ru 0.072 0.588 0.588
Ru 0.338 0.338 0.338
Ru 0.412 0.412 0.928
Ru 0.412 0.928 0.412
Ru 0.500 0.500 0.500
Ru 0.588 0.072 0.588
Ru 0.588 0.588 0.072
Ru 0.662 0.662 0.662
Ru 0.928 0.412 0.412

---

| no. | calculated density (g/cm³) |
| --- | --- |
| 1 | 9.41 |
| 2 | 8.13 |
| 3 | 14.50 |
| 4 | 7.58 |
| 5 | 3.65 |
| 6 | 9.67 |